The following is a PBE+U calculation of crystalline MnH3O at its relaxed geometry, from the Alexandria database.

a = 3.3632 Å, b = 3.3632 Å, c = 3.3632 Å
α = 90.00°, β = 90.00°, γ = 90.00°
Space group Pm-3m (No. 221)
Symmetry-distinct sites (fractional):
Mn  0.0000  0.0000  0.0000 x1
H  0.0000  0.0000  0.5000 x3
O  0.5000  0.5000  0.5000 x1

## Properties
VASP energy ... -3.733 eV/atom
Density ... 3.23 g cm⁻³
Distance to the lowest polymorph of the same formula ... 0.0 meV/atom